VASP calculation (PBE) on an optimized crystal structure of La8Tb3Nd.

Structure (POSCAR):
```
La8Tb3Nd
1.0
-5.114 7.093 2.979
-2.393 -2.961 -8.424
1.222 -9.117 0.871
La Tb Nd
8 3 1
Direct
0.247 0.128 0.880 La
0.254 0.878 0.626 La
0.917 0.169 0.252 La
0.253 0.627 0.375 La
0.589 0.210 0.620 La
0.918 0.666 0.749 La
0.247 0.366 0.121 La
0.589 0.969 0.378 La
0.578 0.701 0.123 Tb
0.578 0.455 0.876 Tb
0.928 0.428 0.500 Tb
0.903 0.903 0.000 Nd
```

## Properties
DFT formation energy = 0.047 eV/atom
Size of the total moment = 0.0000 μB per atom
SG = P1 (1)

***

VASP calculation (PBE) on an optimized crystal structure of In4GaAg7.

Structure (POSCAR):
```
In4GaAg7
1.0
5.127 -1.260 1.315
1.051 4.667 0.304
-0.826 -2.932 9.446
Ag In Ga
7 4 1
Direct
0.053 0.293 0.585 Ag
0.624 0.215 0.430 Ag
0.947 0.707 0.415 Ag
0.500 0.000 0.000 Ag
0.185 0.545 0.091 Ag
0.815 0.455 0.909 Ag
0.376 0.785 0.570 Ag
0.616 0.614 0.227 In
0.808 0.858 0.715 In
0.384 0.386 0.773 In
0.192 0.142 0.285 In
0.000 0.000 0.000 Ga
```

## Properties
DFT formation energy = 0.004 eV/atom
Size of the total moment = 0.0000 μB per atom
SG = P-1 (2)

***

VASP calculation (PBE) on an optimized crystal structure of Tc2HgSbO.

Structure (POSCAR):
```
Tc2HgSbO
1.0
5.124 0.000 0.000
0.000 4.071 0.000
0.000 0.000 5.124
Sb Hg Tc O
1 1 2 1
Direct
0.000 0.000 0.000 Sb
0.500 0.500 0.500 Hg
0.500 0.000 0.000 Tc
0.000 0.000 0.500 Tc
0.000 0.500 0.000 O
```

## Properties
Uncorrected formation energy = 1.0510 eV per atom
Size of the total moment = 1.0000 μB per atom
SG = P4/mmm (123)

***

VASP calculation (PBE) on an optimized crystal structure of Ru2RhPbN.

Structure (POSCAR):
```
Ru2RhPbN
1.0
-3.578 1.335 -0.943
-1.096 -4.470 -2.171
-1.398 -1.323 3.430
Ru Pb Rh N
2 1 1 1
Direct
0.500 0.000 0.000 Ru
0.000 0.000 0.500 Ru
0.000 0.500 0.000 Pb
0.500 0.500 0.500 Rh
0.000 0.000 0.000 N
```

## Properties
Uncorrected formation energy = 0.5235 eV per atom
Size of the total moment = 0.0019 μB per atom
SG = P4/mmm (123)

***

VASP calculation (PBE) on an optimized crystal structure of MnZnRu3.

Structure (POSCAR):
```
MnZnRu3
1.0
4.410 0.000 0.000
0.000 4.410 0.000
0.000 0.000 4.410
Ru Mn Zn
3 1 1
Direct
0.500 0.000 0.000 Ru
0.000 0.500 0.000 Ru
0.000 0.000 0.500 Ru
0.500 0.500 0.500 Mn
0.000 0.000 0.000 Zn
```

## Properties
DFT formation energy = 1.944 eV/atom
Size of the total moment = 0.0043 μB per atom
SG = Pm-3m (221)
Relative energy among the computed polymorphs = 766 meV/atom

***

VASP calculation (PBE) on an optimized crystal structure of PBr.

Structure (POSCAR):
```
PBr
1.0
13.066 0.000 0.000
0.000 13.066 0.000
0.000 0.000 3.487
Br P
8 8
Direct
0.297 0.546 0.500 Br
0.546 0.703 0.500 Br
0.703 0.454 0.500 Br
0.217 0.001 0.000 Br
0.999 0.217 0.000 Br
0.001 0.783 0.000 Br
0.454 0.297 0.500 Br
0.783 0.999 0.000 Br
0.203 0.691 0.500 P
0.903 0.360 0.000 P
0.309 0.203 0.500 P
0.797 0.309 0.500 P
0.097 0.640 0.000 P
0.640 0.903 0.000 P
0.360 0.097 0.000 P
0.691 0.797 0.500 P
```

## Properties
Uncorrected formation energy = -0.1191 eV per atom
Size of the total moment = 0.0000 μB per atom
SG = P4/m (83)
Relative energy among the computed polymorphs = 11 meV/atom

***

VASP calculation (PBE) on an optimized crystal structure of GdPaCoPt.

Structure (POSCAR):
```
GdPaCoPt
1.0
-2.782 -1.590 -3.674
-1.045 -4.746 -0.389
-4.528 -1.579 0.877
Pa Gd Pt Co
1 1 1 1
Direct
0.000 0.000 0.000 Pa
0.500 0.500 0.500 Gd
0.750 0.750 0.750 Pt
0.250 0.250 0.250 Co
```

## Properties
DFT formation energy = -0.457 eV/atom
Size of the total moment = 1.8388 μB per atom
SG = F-43m (216)

***

VASP calculation (PBE) on an optimized crystal structure of LaAlBi3.

Structure (POSCAR):
```
LaAlBi3
1.0
-1.666 5.173 -0.724
-4.412 -1.801 -2.711
-2.795 -0.241 4.710
Al Bi La
1 3 1
Direct
0.000 0.000 0.000 Al
0.000 0.000 0.500 Bi
0.500 0.000 0.000 Bi
0.000 0.500 0.000 Bi
0.500 0.500 0.500 La
```

## Properties
DFT formation energy = 0.017 eV/atom
Size of the total moment = 0.0000 μB per atom
SG = Pm-3m (221)
Relative energy among the computed polymorphs = 0 meV/atom

***

VASP calculation (PBE) on an optimized crystal structure of Pr5YGa5.

Structure (POSCAR):
```
Pr5YGa5
1.0
-1.713 -1.359 -5.371
-5.186 -3.345 5.631
-2.837 6.414 -0.718
Ga Y Pr
5 1 5
Direct
0.181 0.362 0.712 Ga
0.835 0.671 0.694 Ga
0.819 0.638 0.288 Ga
0.500 0.000 0.000 Ga
0.165 0.329 0.306 Ga
0.000 0.000 0.000 Y
0.320 0.640 0.101 Pr
0.360 0.720 0.604 Pr
0.680 0.360 0.899 Pr
0.640 0.280 0.396 Pr
0.000 0.000 0.500 Pr
```

## Properties
DFT formation energy = -0.322 eV/atom
Size of the total moment = 0.0000 μB per atom
SG = C2/m (12)

***

VASP calculation (PBE) on an optimized crystal structure of PrTePd2.

Structure (POSCAR):
```
PrTePd2
1.0
4.677 0.000 0.000
2.338 4.050 0.000
2.338 1.350 4.752
Pd Te Pr
2 1 1
Direct
0.217 0.217 0.348 Pd
0.783 0.783 0.652 Pd
0.500 0.500 0.500 Te
0.000 0.000 0.000 Pr
```

## Properties
Uncorrected formation energy = -0.7211 eV per atom
Size of the total moment = 0.0000 μB per atom
SG = R-3m (166)

***

VASP calculation (PBE) on an optimized crystal structure of Ca2MgZnGa.

Structure (POSCAR):
```
Ca2MgZnGa
1.0
-4.570 0.520 3.459
-1.683 -4.434 -1.558
2.910 -2.593 4.234
Ca Mg Zn Ga
2 1 1 1
Direct
0.500 0.000 0.000 Ca
0.000 0.000 0.500 Ca
0.000 0.500 0.000 Mg
0.500 0.500 0.500 Zn
0.000 0.000 0.000 Ga
```

## Properties
DFT formation energy = 0.058 eV/atom
Size of the total moment = 0.0000 μB per atom
SG = P4/mmm (123)

***

VASP calculation (PBE) on an optimized crystal structure of CaTaNi2S.

Structure (POSCAR):
```
CaTaNi2S
1.0
4.445 0.000 0.000
0.000 6.445 0.000
0.000 0.000 4.445
Ta Ca Ni S
1 1 2 1
Direct
0.000 0.000 0.000 Ta
0.000 0.500 0.000 Ca
0.000 0.000 0.500 Ni
0.500 0.000 0.000 Ni
0.500 0.500 0.500 S
```

## Properties
Uncorrected formation energy = 0.9973 eV per atom
Size of the total moment = 0.2227 μB per atom
SG = P4/mmm (123)